Record 1
Here is a relaxed CaAcTl crystal from Alexandria via LeMat-Bulk. Energies are from PBE.

Lattice parameters (Å, degrees): 5.551 5.551 5.551 60.00 60.00 60.00
Element x y z (fractional)
Ca: 0.000 0.000 0.000
Ac: 0.500 0.500 0.500
Tl: 0.750 0.750 0.750

Calculated values
Crystal system: cubic
SG: F-43m (216)
Raw total energy in eV per atom: -3.03
Size of the total moment in μB/f.u.: 0.00



Record 2
Here is a relaxed Ca2AcTmTl4 crystal from Alexandria via LeMat-Bulk. Energies are from PBE.

Lattice parameters (Å, degrees): 9.756 9.756 9.756 32.88 32.88 32.88
Element x y z (fractional)
Ca: 0.247 0.247 0.247
Ca: 0.753 0.753 0.753
Ac: 0.000 0.000 0.000
Tm: 0.500 0.500 0.500
Tl: 0.128 0.128 0.128
Tl: 0.382 0.382 0.382
Tl: 0.618 0.618 0.618
Tl: 0.872 0.872 0.872

Calculated values
Crystal system: trigonal
SG: R-3m (166)
Raw total energy in eV per atom: -3.12
Size of the total moment in μB/f.u.: 0.00



Record 3
Here is a relaxed Ca2AcYTl4 crystal from Alexandria via LeMat-Bulk. Energies are from PBE.

Lattice parameters (Å, degrees): 9.746 9.746 9.746 33.07 33.07 33.07
Element x y z (fractional)
Ca: 0.248 0.248 0.248
Ca: 0.752 0.752 0.752
Ac: 0.000 0.000 0.000
Y: 0.500 0.500 0.500
Tl: 0.128 0.128 0.128
Tl: 0.381 0.381 0.381
Tl: 0.619 0.619 0.619
Tl: 0.872 0.872 0.872

Calculated values
Crystal system: trigonal
SG: R-3m (166)
Raw total energy in eV per atom: -3.39
Size of the total moment in μB/f.u.: 0.00



Record 4
Here is a relaxed Ca2AcTl2Zn2 crystal from Alexandria via LeMat-Bulk. Energies are from PBE.

Lattice parameters (Å, degrees): 10.325 10.325 10.325 27.27 27.27 27.27
Element x y z (fractional)
Ca: 0.128 0.128 0.128
Ca: 0.872 0.872 0.872
Ac: 0.000 0.000 0.000
Tl: 0.255 0.255 0.255
Tl: 0.745 0.745 0.745
Zn: 0.401 0.401 0.401
Zn: 0.599 0.599 0.599

Calculated values
Crystal system: trigonal
SG: R-3m (166)
Raw total energy in eV per atom: -2.46
Size of the total moment in μB/f.u.: 0.00